Crystalline AgOs2 at its relaxed geometry, computed with PBE.

The structure in extended XYZ format:
```
3
Lattice="-0.6470 -0.8986 -6.1846 -4.0380 -1.9322 -4.4086 1.6726 3.2706 5.0971" Properties=species:S:1:pos:R:3 pbc="T T T"
Os -1.4925 -0.9018 -3.3746
Os -3.1925 -1.9291 -7.2186
Ag 0.0000 0.0000 0.0000
```

Results
Space-group type: No. 139
Energy above the most stable polymorph in this dataset: 78 meV/atom


Crystalline Ag7Os at its relaxed geometry, computed with PBE.

The structure in extended XYZ format:
```
8
Lattice="0.0000 4.1110 4.1110 4.1110 0.0000 4.1110 4.1110 4.1110 0.0000" Properties=species:S:1:pos:R:3 pbc="T T T"
Ag 0.0000 2.0555 2.0555
Ag 2.0555 2.0555 0.0000
Ag 2.0555 4.1110 2.0555
Ag 2.0555 0.0000 2.0555
Ag 2.0555 2.0555 4.1110
Ag 4.1110 2.0555 2.0555
Ag 4.1110 4.1110 4.1110
Os 0.0000 0.0000 0.0000
```

Results
Space-group type: No. 225
Energy: -27.86 eV/f.u.


Crystalline AgOs2 at its relaxed geometry, computed with PBE.

The structure in extended XYZ format:
```
3
Lattice="-3.0800 3.4831 0.0216 -0.0577 -0.0799 4.6486 1.9374 1.7129 0.0535" Properties=species:S:1:pos:R:3 pbc="T T T"
Os 0.9398 0.8165 2.3510
Os -0.5713 2.5980 0.0375
Ag 0.0000 0.0000 0.0000
```

Results
Space-group type: No. 123
Energy above the most stable polymorph in this dataset: 1618 meV/atom


Crystalline AgOs2 at its relaxed geometry, computed with PBE.

The structure in extended XYZ format:
```
6
Lattice="1.3813 5.3134 -0.0018 -1.3813 5.3134 -0.0018 0.0000 1.9534 6.2825" Properties=species:S:1:pos:R:3 pbc="T T T"
Ag 0.0000 10.5676 0.0751
Ag 0.0000 4.2636 2.1708
Os 0.0000 7.1707 1.7267
Os 0.0000 11.3818 3.9022
Os 0.0000 8.2849 4.1765
Os 0.0000 4.6021 5.7355
```

Results
Space-group type: No. 8
Energy above the most stable polymorph in this dataset: 238 meV/atom


Crystalline AgOs at its relaxed geometry, computed with PBE.

The structure in extended XYZ format:
```
4
Lattice="-3.7354 -0.1831 -0.0156 0.0550 -0.8127 -3.6501 0.2142 -4.4539 0.9948" Properties=species:S:1:pos:R:3 pbc="T T T"
Os -0.8130 -2.4762 -0.4189
Os -2.6532 -2.9734 -2.2519
Ag -0.8926 -0.6553 -2.7415
Ag -2.7878 -0.3405 -0.9242
```

Results
Space-group type: No. 123
Energy above the most stable polymorph in this dataset: 602 meV/atom


Crystalline AgOs at its relaxed geometry, computed with PBE.

The structure in extended XYZ format:
```
2
Lattice="3.1554 0.0000 0.0000 0.0000 3.1554 0.0000 0.0000 0.0000 3.1554" Properties=species:S:1:pos:R:3 pbc="T T T"
Os 1.5777 1.5777 1.5777
Ag 0.0000 0.0000 0.0000
```

Results
Space-group type: No. 221
Energy above the most stable polymorph in this dataset: 947 meV/atom


Crystalline AgOs2 at its relaxed geometry, computed with PBE.

The structure in extended XYZ format:
```
12
Lattice="-5.1837 -0.1604 -0.5037 2.2899 -2.2529 4.1026 -0.6402 7.1824 4.3015" Properties=species:S:1:pos:R:3 pbc="T T T"
Os 0.0000 0.0000 0.0000
Os -0.3201 3.5912 2.1507
Os -0.5852 4.5753 4.5655
Os 0.5099 3.4979 6.5275
Os -1.5649 1.3480 1.6137
Os -1.9692 3.4211 6.2867
Os -4.0440 1.2713 1.3728
Os -2.9488 0.1938 3.3348
Ag -0.2476 -1.0362 2.8780
Ag -0.4751 1.5167 4.4070
Ag -3.0589 3.2524 3.4934
Ag -3.2864 5.8054 5.0223
```

Results
Space-group type: No. 194
Energy above the most stable polymorph in this dataset: 383 meV/atom


Crystalline AgOs at its relaxed geometry, computed with PBE.

The structure in extended XYZ format:
```
16
Lattice="7.9809 0.0000 0.0000 0.0000 7.9809 0.0000 0.0000 0.0000 4.2808" Properties=species:S:1:pos:R:3 pbc="T T T"
Ag 1.5028 3.9904 0.0000
Ag 6.4781 3.9904 0.0000
Ag 3.9904 6.4781 0.0000
Ag 3.9904 1.5028 0.0000
Ag 5.4932 0.0000 2.1404
Ag 2.4877 0.0000 2.1404
Ag 0.0000 2.4877 2.1404
Ag 0.0000 5.4932 2.1404
Os 6.7469 6.7469 0.0000
Os 6.7469 1.2339 0.0000
Os 1.2339 6.7469 0.0000
Os 1.2339 1.2339 0.0000
Os 2.7565 2.7565 2.1404
Os 2.7565 5.2244 2.1404
Os 5.2244 2.7565 2.1404
Os 5.2244 5.2244 2.1404
```

Results
Space-group type: No. 139
Energy above the most stable polymorph in this dataset: 499 meV/atom


Crystalline AgOs2 at its relaxed geometry, computed with PBE.

The structure in extended XYZ format:
```
6
Lattice="0.0000 3.6797 3.6797 3.6797 0.0000 3.6797 3.6797 3.6797 0.0000" Properties=species:S:1:pos:R:3 pbc="T T T"
Ag 5.5195 5.5195 5.5195
Ag 3.6797 3.6797 3.6797
Os 2.7598 0.9199 2.7598
Os 2.7598 2.7598 0.9199
Os 0.9199 2.7598 2.7598
Os 0.9199 0.9199 0.9199
```

Results
Space-group type: No. 227
Energy above the most stable polymorph in this dataset: 546 meV/atom


Crystalline AgOs2 at its relaxed geometry, computed with PBE.

The structure in extended XYZ format:
```
6
Lattice="1.3839 -7.5363 0.0000 1.3839 7.5363 0.0000 0.0000 0.0000 4.4379" Properties=species:S:1:pos:R:3 pbc="T T T"
Ag 1.3839 -3.3002 3.3284
Ag 1.3839 3.3002 1.1095
Os 1.3839 1.4667 3.3284
Os 1.3839 6.7667 3.3284
Os 1.3839 -6.7667 1.1095
Os 1.3839 -1.4667 1.1095
```

Results
Space-group type: No. 63
Energy above the most stable polymorph in this dataset: 0 meV/atom


Crystalline Ag2Os at its relaxed geometry, computed with PBE.

The structure in extended XYZ format:
```
6
Lattice="1.3845 4.5540 0.0091 -1.3845 4.5540 0.0091 0.0000 3.4978 7.8649" Properties=species:S:1:pos:R:3 pbc="T T T"
Ag 0.0000 11.6793 5.9524
Ag 0.0000 9.2618 7.1375
Ag 0.0000 3.3440 0.7456
Ag 0.0000 0.9266 1.9308
Os 0.0000 5.0716 4.3653
Os 0.0000 7.5342 3.5179
```

Results
Space-group type: No. 12
Energy above the most stable polymorph in this dataset: 9 meV/atom


Crystalline Ag4Os at its relaxed geometry, computed with PBE.

The structure in extended XYZ format:
```
5
Lattice="-1.8430 1.8430 7.0842 1.8430 -1.8430 7.0842 1.8430 1.8430 -7.0842" Properties=species:S:1:pos:R:3 pbc="T T T"
Ag 0.0000 1.8430 3.5421
Ag 0.0000 0.0000 5.7483
Ag 0.0000 0.0000 8.4201
Ag 1.8430 0.0000 3.5421
Os 0.0000 0.0000 0.0000
```

Results
Space-group type: No. 139
Energy above the most stable polymorph in this dataset: 380 meV/atom


Short version: volume = 47, 139, 56, 92, 64, 31, 197, 273, 100, 93, 99, 96 Å³ per cell, in the order given.